(1)
The following is a DFT calculation (GGA-PBEsol) of a geometry-optimized Ta3ZnH structure.

Summary:
The total energy is -42.5 eV per formula unit.

a = 4.095 Å, b = 4.095 Å, c = 4.095 Å
α = 90.00°, β = 90.00°, γ = 90.00°
Space group Pm-3m (No. 221)
One atom of each set of equivalent atoms:
Ta1 0.000 0.000 0.500 (multiplicity 3)
Zn1 0.500 0.500 0.500 (multiplicity 1)
H1 0.000 0.000 0.000 (multiplicity 1)

(2)
The following is a DFT calculation (GGA-PBEsol) of a geometry-optimized TaAlSi4 structure.

Summary:
As for the uncorrected formation energy: 0.1156 eV/atom. The total energy is -38.9 eV per formula unit.

a = 6.953 Å, b = 6.953 Å, c = 6.953 Å
α = 90.00°, β = 90.00°, γ = 90.00°
Space group F-43m (No. 216)
One atom of each set of equivalent atoms:
Ta1 0.000 0.000 0.000 (multiplicity 4)
Al1 0.250 0.250 0.750 (multiplicity 4)
Si1 0.125 0.125 0.375 (multiplicity 16)

(3)
The following is a DFT calculation (GGA-PBEsol) of a geometry-optimized Mn2AgMo structure.

Summary:
The energy relative to the elements is 445 meV per atom. Its distance to the lowest polymorph of the same formula is 37 meV/atom. The total energy is -32.8 eV per formula unit.

a = 6.051 Å, b = 6.051 Å, c = 6.051 Å
α = 90.00°, β = 90.00°, γ = 90.00°
Space group Fm-3m (No. 225)
One atom of each set of equivalent atoms:
Mn1 0.250 0.250 0.250 (multiplicity 8)
Ag1 0.000 0.000 0.000 (multiplicity 4)
Mo1 0.000 0.000 0.500 (multiplicity 4)

(4)
The following is a DFT calculation (GGA-PBEsol) of a geometry-optimized Ba2HoCu3O7 structure.

Summary:
As for the uncorrected formation energy: -1.8612 eV/atom. The total energy is -83.2 eV per formula unit.

a = 3.792 Å, b = 3.860 Å, c = 11.499 Å
α = 90.00°, β = 90.00°, γ = 90.00°
Space group Pmmm (No. 47)
One atom of each set of equivalent atoms:
Ba1 0.000 0.000 0.182 (multiplicity 2)
Ho1 0.000 0.000 0.500 (multiplicity 1)
Cu1 0.500 0.500 0.000 (multiplicity 1)
Cu2 0.500 0.500 0.353 (multiplicity 2)
O1 0.000 0.500 0.379 (multiplicity 2)
O2 0.500 0.000 0.000 (multiplicity 1)
O3 0.500 0.000 0.378 (multiplicity 2)
O4 0.500 0.500 0.162 (multiplicity 2)

(5)
The following is a DFT calculation (GGA-PBEsol) of a geometry-optimized La5Y3 structure.

Summary:
The energy relative to the elements is 17 meV per atom. The total energy is -47.1 eV per formula unit.

a = 10.062 Å, b = 10.174 Å, c = 5.122 Å
α = 90.00°, β = 90.00°, γ = 90.00°
Space group Cmmm (No. 65)
One atom of each set of equivalent atoms:
La1 0.000 0.000 0.000 (multiplicity 2)
La2 0.249 0.500 0.500 (multiplicity 4)
La3 0.250 0.250 0.000 (multiplicity 4)
Y1 0.000 0.252 0.500 (multiplicity 4)
Y2 0.000 0.500 0.000 (multiplicity 2)

(6)
The following is a DFT calculation (GGA-PBEsol) of a geometry-optimized SrCoTc structure.

Summary:
The energy relative to the elements is 2176 meV per atom. The total energy is -14.3 eV per formula unit.

a = 6.345 Å, b = 6.345 Å, c = 6.345 Å
α = 90.00°, β = 90.00°, γ = 90.00°
Space group F-43m (No. 216)
One atom of each set of equivalent atoms:
Sr1 0.000 0.000 0.000 (multiplicity 4)
Co1 0.250 0.250 0.750 (multiplicity 4)
Tc1 0.250 0.250 0.250 (multiplicity 4)

(7)
The following is a DFT calculation (GGA-PBEsol) of a geometry-optimized MnGaAg3 structure.

Summary:
The energy relative to the elements is 796 meV per atom. The total energy is -19.1 eV per formula unit.

a = 4.708 Å, b = 4.708 Å, c = 4.708 Å
α = 90.00°, β = 90.00°, γ = 90.00°
Space group Pm-3m (No. 221)
One atom of each set of equivalent atoms:
Mn1 0.000 0.000 0.000 (multiplicity 1)
Ga1 0.500 0.500 0.500 (multiplicity 1)
Ag1 0.000 0.500 0.500 (multiplicity 3)

(8)
The following is a DFT calculation (GGA-PBEsol) of a geometry-optimized BPIr2 structure.

Summary:
The energy relative to the elements is 283 meV per atom. The total energy is -31.3 eV per formula unit.

a = 5.716 Å, b = 5.716 Å, c = 5.716 Å
α = 90.00°, β = 90.00°, γ = 90.00°
Space group Fm-3m (No. 225)
One atom of each set of equivalent atoms:
B1 0.000 0.000 0.000 (multiplicity 4)
P1 0.000 0.000 0.500 (multiplicity 4)
Ir1 0.250 0.250 0.250 (multiplicity 8)

(9)
The following is a DFT calculation (GGA-PBEsol) of a geometry-optimized CoMo3 structure.

Summary:
The energy relative to the elements is 65 meV per atom. The total energy is -42.8 eV per formula unit.

a = 3.249 Å, b = 4.171 Å, c = 8.231 Å
α = 90.00°, β = 90.00°, γ = 90.00°
Space group Cmmm (No. 65)
One atom of each set of equivalent atoms:
Co1 0.000 0.000 0.000 (multiplicity 2)
Mo1 0.000 0.000 0.500 (multiplicity 2)
Mo2 0.000 0.500 0.227 (multiplicity 4)

(10)
The following is a DFT calculation (GGA-PBEsol) of a geometry-optimized K3TiCo structure.

Summary:
The energy relative to the elements is 1539 meV per atom. The total energy is -11.8 eV per formula unit.

a = 6.046 Å, b = 6.046 Å, c = 6.046 Å
α = 90.00°, β = 90.00°, γ = 90.00°
Space group Pm-3m (No. 221)
One atom of each set of equivalent atoms:
K1 0.000 0.000 0.500 (multiplicity 3)
Ti1 0.500 0.500 0.500 (multiplicity 1)
Co1 0.000 0.000 0.000 (multiplicity 1)

(11)
The following is a DFT calculation (GGA-PBEsol) of a geometry-optimized InTcPb2 structure.

Summary:
The energy relative to the elements is 702 meV per atom. The total energy is -19.4 eV per formula unit.

a = 3.566 Å, b = 4.880 Å, c = 5.073 Å
α = 90.00°, β = 90.00°, γ = 90.00°
Space group Pmmm (No. 47)
One atom of each set of equivalent atoms:
In1 0.000 0.000 0.000 (multiplicity 1)
Tc1 0.500 0.000 0.500 (multiplicity 1)
Pb1 0.000 0.500 0.500 (multiplicity 1)
Pb2 0.500 0.500 0.000 (multiplicity 1)

(12)
The following is a DFT calculation (GGA-PBEsol) of a geometry-optimized Gd2InHg structure.

Summary:
The energy relative to the elements is -569 meV per atom. The total energy is -34.7 eV per formula unit.

a = 7.419 Å, b = 7.419 Å, c = 7.419 Å
α = 90.00°, β = 90.00°, γ = 90.00°
Space group Fm-3m (No. 225)
One atom of each set of equivalent atoms:
Gd1 0.250 0.250 0.250 (multiplicity 8)
In1 0.000 0.000 0.000 (multiplicity 4)
Hg1 0.000 0.000 0.500 (multiplicity 4)

(13)
The following is a DFT calculation (GGA-PBEsol) of a geometry-optimized Sc2TaCd structure.

Summary:
The energy relative to the elements is 104 meV per atom. The total energy is -26.5 eV per formula unit.

a = 3.152 Å, b = 4.990 Å, c = 10.425 Å
α = 90.00°, β = 90.00°, γ = 90.00°
Space group Imm2 (No. 44)
One atom of each set of equivalent atoms:
Sc1 0.000 0.000 0.000 (multiplicity 2)
Sc2 0.000 0.500 0.220 (multiplicity 2)
Ta1 0.000 0.500 0.746 (multiplicity 2)
Cd1 0.000 0.000 0.478 (multiplicity 2)

(14)
The following is a DFT calculation (GGA-PBEsol) of a geometry-optimized YSiTc structure.

Summary:
As for the uncorrected formation energy: 1.0454 eV/atom. Its distance to the lowest polymorph of the same formula is 1536 meV/atom. The total energy is -20.7 eV per formula unit.

a = 6.364 Å, b = 6.364 Å, c = 6.364 Å
α = 90.00°, β = 90.00°, γ = 90.00°
Space group F-43m (No. 216)
One atom of each set of equivalent atoms:
Y1 0.000 0.000 0.000 (multiplicity 4)
Si1 0.250 0.250 0.250 (multiplicity 4)
Tc1 0.250 0.250 0.750 (multiplicity 4)

(15)
The following is a DFT calculation (GGA-PBEsol) of a geometry-optimized NbH8N2OF5 structure.

Summary:
The total energy is -95.9 eV per formula unit.

a = 20.398 Å, b = 6.026 Å, c = 14.193 Å
α = 90.00°, β = 133.59°, γ = 90.00°
Space group C2/c (No. 15)
One atom of each set of equivalent atoms:
Nb1 0.124 0.248 0.280 (multiplicity 8)
H1 0.058 0.151 0.890 (multiplicity 8)
H2 0.100 0.362 0.612 (multiplicity 8)
H3 0.111 0.402 0.921 (multiplicity 8)
H4 0.127 0.286 0.526 (multiplicity 8)
H5 0.144 0.104 0.634 (multiplicity 8)
H6 0.146 0.226 0.044 (multiplicity 8)
H7 0.164 0.158 0.947 (multiplicity 8)
H8 0.211 0.328 0.691 (multiplicity 8)
N1 0.120 0.235 0.950 (multiplicity 8)
N2 0.145 0.272 0.615 (multiplicity 8)
O1 0.104 0.319 0.380 (multiplicity 8)
F1 0.033 0.013 0.170 (multiplicity 8)
F2 0.043 0.459 0.136 (multiplicity 8)
F3 0.166 0.165 0.177 (multiplicity 8)
F4 0.208 0.002 0.388 (multiplicity 8)
F5 0.221 0.459 0.356 (multiplicity 8)

(16)
The following is a DFT calculation (GGA-PBEsol) of a geometry-optimized Ag2ICl structure.

Summary:
As for the uncorrected formation energy: -0.2674 eV/atom. The total energy is -11.5 eV per formula unit.

a = 6.094 Å, b = 6.094 Å, c = 12.495 Å
α = 90.00°, β = 90.00°, γ = 90.00°
Space group I-42d (No. 122)
One atom of each set of equivalent atoms:
Ag1 0.222 0.250 0.125 (multiplicity 8)
I1 0.000 0.000 0.500 (multiplicity 4)
Cl1 0.000 0.000 0.000 (multiplicity 4)

(17)
The following is a DFT calculation (GGA-PBEsol) of a geometry-optimized BeCo2Br structure.

Summary:
As for the uncorrected formation energy: 0.4182 eV/atom. Its distance to the lowest polymorph of the same formula is 28 meV/atom. The total energy is -19.7 eV per formula unit.

a = 2.935 Å, b = 2.935 Å, c = 5.712 Å
α = 90.00°, β = 90.00°, γ = 90.00°
Space group P4/mmm (No. 123)
One atom of each set of equivalent atoms:
Be1 0.000 0.000 0.000 (multiplicity 1)
Co1 0.500 0.500 0.196 (multiplicity 2)
Br1 0.000 0.000 0.500 (multiplicity 1)

(18)
The following is a DFT calculation (GGA-PBEsol) of a geometry-optimized AsSN2F structure.

Summary:
As for the uncorrected formation energy: 1.0010 eV/atom. The total energy is -23.5 eV per formula unit.

a = 3.712 Å, b = 3.712 Å, c = 3.825 Å
α = 90.00°, β = 90.00°, γ = 90.00°
Space group P4/mmm (No. 123)
One atom of each set of equivalent atoms:
As1 0.000 0.000 0.000 (multiplicity 1)
S1 0.500 0.500 0.500 (multiplicity 1)
N1 0.000 0.500 0.500 (multiplicity 2)
F1 0.500 0.500 0.000 (multiplicity 1)

(19)
The following is a DFT calculation (GGA-PBEsol) of a geometry-optimized Eu2Co4Si3Ge structure.

Summary:
As for the uncorrected formation energy: -0.6984 eV/atom. The total energy is -81.2 eV per formula unit.

a = 3.878 Å, b = 3.878 Å, c = 10.047 Å
α = 90.00°, β = 90.00°, γ = 90.00°
Space group P4mm (No. 99)
One atom of each set of equivalent atoms:
Eu1 0.000 0.000 0.000 (multiplicity 1)
Eu2 0.500 0.500 0.496 (multiplicity 1)
Co1 0.000 0.500 0.247 (multiplicity 2)
Co2 0.000 0.500 0.755 (multiplicity 2)
Si1 0.000 0.000 0.360 (multiplicity 1)
Si2 0.500 0.500 0.132 (multiplicity 1)
Si3 0.500 0.500 0.868 (multiplicity 1)
Ge1 0.000 0.000 0.629 (multiplicity 1)

(20)
The following is a DFT calculation (GGA-PBEsol) of a geometry-optimized SrLiH3 structure.

Summary:
Its distance to the lowest polymorph of the same formula is 0 meV/atom. The total energy is -16.4 eV per formula unit.

a = 3.757 Å, b = 3.757 Å, c = 3.757 Å
α = 90.00°, β = 90.00°, γ = 90.00°
Space group Pm-3m (No. 221)
One atom of each set of equivalent atoms:
Sr1 0.000 0.000 0.000 (multiplicity 1)
Li1 0.500 0.500 0.500 (multiplicity 1)
H1 0.000 0.500 0.500 (multiplicity 3)